# 1
Density functional theory data (GGA-PBE) for a geometry-optimized TaZn2N2 structure.

Computed properties:
Uncorrected energy in hartree per atom: -0.19668

Lattice parameters (Å, degrees): 4.7084 4.7084 4.7084 131.13 131.13 71.61
With the nearest neighbours (Å) after each atom.
Fractional coordinates of all 5 atoms:
Ta1 0.0000 0.0000 0.0000  10 Zn 2.67-2.98, 8 N 2.73
Zn1 0.3496 0.3496 0.0000  4 N 2.09, 1 Zn 2.30
Zn2 0.6504 0.6504 0.0000  4 N 2.09, 1 Zn 2.30
N1 0.2500 0.7500 0.5000  4 Zn 2.09
N2 0.7500 0.2500 0.5000  4 Zn 2.09

---

# 2
Density functional theory data (GGA-PBE) for a geometry-optimized AlOs3 structure.

Computed properties:
Energy of formation in kcal/mol of atoms: 65.511

Lattice parameters (Å, degrees): 4.4649 4.4649 4.4649 90.00 90.00 90.00
With the nearest neighbours (Å) after each atom.
Fractional coordinates of all 4 atoms:
Al1 0.0000 0.0000 0.0000  6 Os 2.23
Os1 0.0000 0.0000 0.5000  2 Al 2.23
Os2 0.0000 0.5000 0.0000  2 Al 2.23
Os3 0.5000 0.0000 0.0000  2 Al 2.23

---

# 3
Density functional theory data (GGA-PBE) for a geometry-optimized Ac5In2HIr structure.

Computed properties:
Uncorrected energy in hartree per atom: -0.17214

Lattice parameters (Å, degrees): 10.0466 10.0466 14.5769 90.00 90.00 155.11
With the nearest neighbours (Å) after each atom.
Fractional coordinates of all 18 atoms:
Ac1 0.0000 0.0000 0.0000  1 H 2.47
Ac2 0.0000 0.0000 0.5000  1 H 2.47
Ac3 0.1594 0.8406 0.7605  1 Ir 2.96
Ac4 0.1897 0.8103 0.1223  1 H 2.61
Ac5 0.1915 0.8085 0.4037  2 Ir 2.99
Ac6 0.4630 0.5370 0.7398  2 H 2.57
Ac7 0.5370 0.4630 0.2398  2 H 2.57
Ac8 0.8085 0.1915 0.9037  2 Ir 2.99
Ac9 0.8103 0.1897 0.6223  1 H 2.61
Ac10 0.8406 0.1594 0.2605  1 Ir 2.96
In1 0.3737 0.6263 0.4425  7 Ac 3.40-3.62
In2 0.3765 0.6235 0.0817  7 Ac 3.46-3.71
In3 0.6235 0.3765 0.5817  7 Ac 3.46-3.71
In4 0.6263 0.3737 0.9425  7 Ac 3.40-3.62
H1 0.0584 0.9416 0.1499  4 Ac 2.47-2.61
H2 0.9416 0.0584 0.6499  4 Ac 2.47-2.61
Ir1 0.3103 0.6897 0.7626  6 Ac 2.96-3.01
Ir2 0.6897 0.3103 0.2626  6 Ac 2.96-3.01

---

# 4
Density functional theory data (GGA-PBE) for a geometry-optimized Tb4HoSe5 structure.

Computed properties:
Uncorrected energy in hartree per atom: -0.21366

Lattice parameters (Å, degrees): 7.0746 7.0746 7.0746 99.65 99.65 131.67
With the nearest neighbours (Å) after each atom.
Fractional coordinates of all 10 atoms:
Tb1 0.0982 0.3020 0.4002  6 Se 2.89-2.90
Tb2 0.3020 0.9018 0.2039  6 Se 2.89-2.90
Tb3 0.6980 0.0982 0.7961  6 Se 2.89-2.90
Tb4 0.9018 0.6980 0.5998  6 Se 2.89-2.90
Ho1 0.5000 0.5000 0.0000  6 Se 2.86-2.90
Se1 0.0000 0.0000 0.0000  2 Ho 2.90, 4 Tb 2.90
Se2 0.2032 0.6006 0.8037  1 Ho 2.86, 5 Tb 2.89-2.90
Se3 0.3994 0.2032 0.6026  1 Ho 2.86, 5 Tb 2.89-2.90
Se4 0.6006 0.7968 0.3974  1 Ho 2.86, 5 Tb 2.89-2.90
Se5 0.7968 0.3994 0.1963  1 Ho 2.86, 5 Tb 2.89-2.90

---

# 5
Density functional theory data (GGA-PBE) for a geometry-optimized Ag2PdS structure.

Computed properties:
Uncorrected energy in hartree per atom: -0.13122

Lattice parameters (Å, degrees): 10.1607 10.1607 10.1607 158.30 158.30 30.88
With the nearest neighbours (Å) after each atom.
Fractional coordinates of all 8 atoms:
Ag1 0.1218 0.6250 0.9968  4 Ag 2.69-2.72, 2 S 2.79, 2 Pd 2.80
Ag2 0.3750 0.3718 0.4968  4 Ag 2.69-2.72, 2 S 2.79, 2 Pd 2.80
Ag3 0.6282 0.1250 0.0032  4 Ag 2.69-2.72, 2 S 2.79, 2 Pd 2.80
Ag4 0.8750 0.8782 0.5032  4 Ag 2.69-2.72, 2 S 2.79, 2 Pd 2.80
Pd1 0.2500 0.7500 0.5000  4 S 2.70, 4 Ag 2.80
Pd2 0.5000 0.5000 0.0000  4 S 2.70, 4 Ag 2.80
S1 0.0000 0.0000 0.0000  4 Pd 2.70, 4 Ag 2.79
S2 0.7500 0.2500 0.5000  4 Pd 2.70, 4 Ag 2.79

---

# 6
Density functional theory data (GGA-PBE) for a geometry-optimized CoIrOs structure.

Computed properties:
Energy of formation in kcal/mol of atoms: 8.522

Lattice parameters (Å, degrees): 2.6553 3.9735 8.7184 90.00 98.75 90.00
With the nearest neighbours (Å) after each atom.
Fractional coordinates of all 6 atoms:
Co1 0.0439 0.2500 0.0866  4 Co 2.48-2.66, 6 Ir 2.53-2.68
Co2 0.9561 0.7500 0.9134  4 Co 2.48-2.66, 6 Ir 2.53-2.68
Ir1 0.4086 0.2500 0.8171  6 Co 2.53-2.68, 2 Os 2.58, 2 Ir 2.66
Ir2 0.5914 0.7500 0.1829  6 Co 2.53-2.68, 2 Os 2.58, 2 Ir 2.66
Os1 0.2202 0.7500 0.4397  2 Ir 2.58, 6 Os 2.61-2.66
Os2 0.7798 0.2500 0.5603  2 Ir 2.58, 6 Os 2.61-2.66